Record 1
First-principles (PBE-GGA) data for a relaxed LiAlFe crystal, as listed in Alexandria.

As for the formation energy: -0.007 eV per atom. As for the electronic total energy: -14.1 eV/f.u.

It has space group P3m1 (No. 156), with a = 4.1321 Å, b = 4.1321 Å, c = 2.5875 Å, α = 90.00°, β = 90.00° and γ = 120.00°. Symmetry generates all atoms from Li at (0.0000, 0.0000, 0.0000), Al at (0.6667, 0.3333, 0.2795) and Fe at (0.3333, 0.6667, 0.6886).

---

Record 2
First-principles (PBE-GGA) data for a relaxed Pr3CoSi2 crystal, as listed in Alexandria.

As for the electronic total energy: -35.7 eV/f.u. The formation energy without anion corrections is -0.5647 eV per atom.

It has space group Pnma (No. 62), with a = 11.9041 Å, b = 4.2121 Å, c = 11.6421 Å, α = 90.00°, β = 90.00° and γ = 90.00°. Symmetry generates all atoms from Pr at (0.0586, 0.2500, 0.1257), Pr at (0.1167, 0.7500, 0.5583), Pr at (0.2139, 0.2500, 0.7997), Co at (0.1324, 0.2500, 0.3637), Si at (0.0333, 0.7500, 0.3175) and Si at (0.2010, 0.7500, 0.9905).

---

Record 3
First-principles (PBE-GGA) data for a relaxed RePb2Br crystal, as listed in Alexandria.

The calculation puts the relative energy among the computed polymorphs at 0.435 eV/atom. As for the electronic total energy: -17.6 eV/f.u. The formation energy without anion corrections is 0.9921 eV per atom.

It has space group I4/mmm (No. 139), with a = 4.8840 Å, b = 4.8840 Å, c = 8.5201 Å, α = 90.00°, β = 90.00° and γ = 90.00°. Symmetry generates all atoms from Re at (0.0000, 0.0000, 0.0000), Pb at (0.0000, 0.5000, 0.2500) and Br at (0.0000, 0.0000, 0.5000).

---

Record 4
First-principles (PBE-GGA) data for a relaxed CaTa2CdIn crystal, as listed in Alexandria.

As for the formation energy: 1.520 eV per atom. As for the electronic total energy: -21.8 eV/f.u.

It has space group P4/mmm (No. 123), with a = 5.2057 Å, b = 5.2057 Å, c = 5.1587 Å, α = 90.00°, β = 90.00° and γ = 90.00°. Symmetry generates all atoms from Ca at (0.0000, 0.0000, 0.0000), Ta at (0.0000, 0.5000, 0.5000), Cd at (0.5000, 0.5000, 0.5000) and In at (0.5000, 0.5000, 0.0000).

---

Record 5
First-principles (PBE-GGA) data for a relaxed Zn3In2O6 crystal, as listed in Alexandria.

The calculation puts the relative energy among the computed polymorphs at 0.036 eV/atom. As for the electronic total energy: -54.8 eV/f.u. The formation energy without anion corrections is -1.4304 eV per atom.

It has space group R3m (No. 160, hexagonal axes), with a = 3.4543 Å, b = 3.4543 Å, c = 42.5116 Å, α = 90.00°, β = 90.00° and γ = 120.00°. Symmetry generates all atoms from Zn at (0.0000, 0.0000, 0.0000), Zn at (0.0000, 0.0000, 0.1311), Zn at (0.0000, 0.0000, 0.5244), In at (0.0000, 0.0000, 0.2622), In at (0.0000, 0.0000, 0.3991), O at (0.0000, 0.0000, 0.0679), O at (0.0000, 0.0000, 0.1784), O at (0.0000, 0.0000, 0.3475), O at (0.0000, 0.0000, 0.4519), O at (0.0000, 0.0000, 0.5712) and O at (0.0000, 0.0000, 0.9537).

---

Record 6
First-principles (PBE-GGA) data for a relaxed AcTb4PmSm2 crystal, as listed in Alexandria.

As for the formation energy: 0.421 eV per atom. As for the electronic total energy: -33.4 eV/f.u.

It has space group Imma (No. 74), with a = 6.9649 Å, b = 11.9820 Å, c = 13.4839 Å, α = 90.00°, β = 90.00° and γ = 90.00°. Symmetry generates all atoms from Ac at (0.0000, 0.0000, 0.0000), Tb at (0.0000, 0.0005, 0.2583), Tb at (0.2363, 0.2500, 0.4994), Pm at (0.2500, 0.2500, 0.7500), Sm at (0.0000, 0.0000, 0.5000) and Sm at (0.2500, 0.2500, 0.2500).

---

Record 7
First-principles (PBE-GGA) data for a relaxed TbNd2Er2 crystal, as listed in Alexandria.

As for the formation energy: 0.007 eV per atom. The calculation puts the relative energy among the computed polymorphs at 0.000 eV/atom. As for the electronic total energy: -23.3 eV/f.u.

It has space group C2/m (No. 12), with a = 6.2305 Å, b = 3.6033 Å, c = 14.6758 Å, α = 90.00°, β = 98.23° and γ = 90.00°. Symmetry generates all atoms from Tb at (0.0000, 0.0000, 0.0000), Nd at (0.1327, 0.0000, 0.3937) and Er at (0.1006, 0.5000, 0.8055).

---

Record 8
First-principles (PBE-GGA) data for a relaxed Al2Sn2Sb crystal, as listed in Alexandria.

The calculation puts the relative energy among the computed polymorphs at 0.000 eV/atom. As for the electronic total energy: -18.8 eV/f.u. The formation energy without anion corrections is 0.1647 eV per atom.

It has space group P4/mbm (No. 127), with a = 7.7320 Å, b = 7.7320 Å, c = 3.9772 Å, α = 90.00°, β = 90.00° and γ = 90.00°. Symmetry generates all atoms from Al at (0.1244, 0.3756, 0.0000), Sn at (0.1781, 0.6781, 0.5000) and Sb at (0.0000, 0.0000, 0.0000).

---

Record 9
First-principles (PBE-GGA) data for a relaxed Ta2CdHg crystal, as listed in Alexandria.

As for the formation energy: 0.343 eV per atom. The calculation puts the relative energy among the computed polymorphs at 0.176 eV/atom. As for the electronic total energy: -23.5 eV/f.u.

It has space group Pmmm (No. 47), with a = 4.0211 Å, b = 4.1526 Å, c = 4.5661 Å, α = 90.00°, β = 90.00° and γ = 90.00°. Symmetry generates all atoms from Ta at (0.0000, 0.0000, 0.0000), Ta at (0.5000, 0.5000, 0.0000), Cd at (0.0000, 0.5000, 0.5000) and Hg at (0.5000, 0.0000, 0.5000).

---

Record 10
First-principles (PBE-GGA) data for a relaxed ZrScCl2 crystal, as listed in Alexandria.

The calculation puts the relative energy among the computed polymorphs at 0.499 eV/atom. As for the electronic total energy: -22.0 eV/f.u. The formation energy without anion corrections is -0.8531 eV per atom.

It has space group Pm (No. 6), with a = 3.2861 Å, b = 5.0683 Å, c = 4.8907 Å, α = 90.00°, β = 101.88° and γ = 90.00°. Symmetry generates all atoms from Zr at (0.0000, 0.0000, 0.0000), Sc at (0.4164, 0.5000, 0.3556), Cl at (0.0274, 0.5000, 0.8184) and Cl at (0.3665, 0.0000, 0.5541).

---

Record 11
First-principles (PBE-GGA) data for a relaxed InSn3Ge crystal, as listed in Alexandria.

As for the formation energy: 0.434 eV per atom. The calculation puts the relative energy among the computed polymorphs at 0.000 eV/atom. As for the electronic total energy: -17.2 eV/f.u.

It has space group Pm-3m (No. 221), with a = 5.3965 Å, b = 5.3965 Å, c = 5.3965 Å, α = 90.00°, β = 90.00° and γ = 90.00°. Symmetry generates all atoms from In at (0.0000, 0.0000, 0.0000), Sn at (0.0000, 0.5000, 0.5000) and Ge at (0.5000, 0.5000, 0.5000).

---

Record 12
First-principles (PBE-GGA) data for a relaxed Ti2Pd2Rh crystal, as listed in Alexandria.

As for the formation energy: -0.446 eV per atom. The calculation puts the relative energy among the computed polymorphs at 0.121 eV/atom. As for the electronic total energy: -35.8 eV/f.u.

It has space group P4/mbm (No. 127), with a = 7.1914 Å, b = 7.1914 Å, c = 3.0542 Å, α = 90.00°, β = 90.00° and γ = 90.00°. Symmetry generates all atoms from Ti at (0.1743, 0.3257, 0.0000), Pd at (0.1300, 0.6300, 0.5000) and Rh at (0.0000, 0.0000, 0.5000).

---

Record 13
First-principles (PBE-GGA) data for a relaxed SmMgTiAl crystal, as listed in Alexandria.

As for the formation energy: -0.061 eV per atom. As for the electronic total energy: -18.2 eV/f.u.

It has space group F-43m (No. 216), with a = 7.0065 Å, b = 7.0065 Å, c = 7.0065 Å, α = 90.00°, β = 90.00° and γ = 90.00°. Symmetry generates all atoms from Sm at (0.0000, 0.0000, 0.0000), Mg at (0.2500, 0.2500, 0.2500), Ti at (0.0000, 0.0000, 0.5000) and Al at (0.2500, 0.2500, 0.7500).

---

Record 14
First-principles (PBE-GGA) data for a relaxed Nd2Dy3TmAs6 crystal, as listed in Alexandria.

As for the formation energy: -1.512 eV per atom. As for the electronic total energy: -73.9 eV/f.u.

It has space group C2/m (No. 12), with a = 18.1399 Å, b = 4.1646 Å, c = 8.3234 Å, α = 90.00°, β = 103.27° and γ = 90.00°. Symmetry generates all atoms from Nd at (0.1655, 0.0000, 0.3317), Dy at (0.0000, 0.5000, 0.5000), Dy at (0.1673, 0.0000, 0.8341), Tm at (0.0000, 0.5000, 0.0000), As at (0.0027, 0.0000, 0.7542), As at (0.1653, 0.5000, 0.0759) and As at (0.1646, 0.5000, 0.5886).

---

Record 15
First-principles (PBE-GGA) data for a relaxed Tm3AlTl4Te8 crystal, as listed in Alexandria.

As for the electronic total energy: -65.1 eV/f.u. The formation energy without anion corrections is -0.8350 eV per atom.

It has space group R-3m (No. 166, hexagonal axes), with a = 8.7270 Å, b = 8.7270 Å, c = 24.4594 Å, α = 90.00°, β = 90.00° and γ = 120.00°. Symmetry generates all atoms from Tm at (0.0000, 0.5000, 0.0000), Al at (0.0000, 0.0000, 0.0000), Tl at (0.0000, 0.0000, 0.5000), Tl at (0.0000, 0.5000, 0.5000), Te at (0.0000, 0.0000, 0.2625) and Te at (0.0170, 0.5085, 0.7338).

---

Record 16
First-principles (PBE-GGA) data for a relaxed Na3NbV2Se6 crystal, as listed in Alexandria.

As for the electronic total energy: -63.3 eV/f.u. The formation energy without anion corrections is -0.8430 eV per atom.

It has space group C2/m (No. 12), with a = 6.1500 Å, b = 11.0542 Å, c = 7.5538 Å, α = 90.00°, β = 106.17° and γ = 90.00°. Symmetry generates all atoms from Na at (0.0000, 0.0000, 0.0000), Na at (0.0000, 0.3267, 0.0000), Nb at (0.0000, 0.5000, 0.5000), V at (0.0000, 0.1297, 0.5000), Se at (0.2408, 0.3244, 0.6993) and Se at (0.2446, 0.0000, 0.7327).

---

Record 17
First-principles (PBE-GGA) data for a relaxed GaRe crystal, as listed in Alexandria.

As for the formation energy: 0.111 eV per atom. As for the electronic total energy: -15.3 eV/f.u.

It has space group P-6m2 (No. 187), with a = 2.8779 Å, b = 2.8779 Å, c = 4.1594 Å, α = 90.00°, β = 90.00° and γ = 120.00°. Symmetry generates all atoms from Ga at (0.0000, 0.0000, 0.0000) and Re at (0.6667, 0.3333, 0.5000).

---

Record 18
First-principles (PBE-GGA) data for a relaxed Pm5Dy4Tl2 crystal, as listed in Alexandria.

As for the formation energy: -0.026 eV per atom. As for the electronic total energy: -47.2 eV/f.u.

It has space group P2/m (No. 10), with a = 8.8610 Å, b = 3.5926 Å, c = 11.1980 Å, α = 90.00°, β = 93.91° and γ = 90.00°. Symmetry generates all atoms from Pm at (0.0000, 0.0000, 0.0000), Pm at (0.0397, 0.0000, 0.3378), Pm at (0.2992, 0.0000, 0.8332), Dy at (0.2848, 0.5000, 0.5541), Dy at (0.3492, 0.5000, 0.1058) and Tl at (0.4125, 0.0000, 0.3407).

---

Record 19
First-principles (PBE-GGA) data for a relaxed TeC4 crystal, as listed in Alexandria.

The calculation puts the relative energy among the computed polymorphs at 2.220 eV/atom. As for the electronic total energy: -20.3 eV/f.u. The formation energy without anion corrections is 3.9474 eV per atom.

It has space group Im-3m (No. 229), with a = 5.0839 Å, b = 5.0839 Å, c = 5.0839 Å, α = 90.00°, β = 90.00° and γ = 90.00°. Symmetry generates all atoms from Te at (0.0000, 0.0000, 0.0000) and C at (0.2500, 0.2500, 0.2500).

---

Record 20
First-principles (PBE-GGA) data for a relaxed TeIr crystal, as listed in Alexandria.

As for the electronic total energy: -11.1 eV/f.u. The formation energy without anion corrections is 0.4661 eV per atom.

It has space group P-6m2 (No. 187), with a = 4.0110 Å, b = 4.0110 Å, c = 3.0976 Å, α = 90.00°, β = 90.00° and γ = 120.00°. Symmetry generates all atoms from Te at (0.0000, 0.0000, 0.0000) and Ir at (0.3333, 0.6667, 0.5000).